No. 1
The following is a DFT calculation (SCAN) of Li2LaMoAu at its PBEsol-relaxed geometry.

Geometry as CIF:
```
data_Li2LaMoAu
_chemical_formula_sum 'Li2 La1 Mo1 Au1'
_symmetry_space_group_name_H-M 'P 1'
_symmetry_Int_Tables_number 1
_symmetry_space_group_name_Hall 'P 1'
_cell_length_a 4.625
_cell_length_b 4.625
_cell_length_c 5.684
_cell_angle_alpha 90.00
_cell_angle_beta 90.00
_cell_angle_gamma 90.00
loop_
_atom_site_label
_atom_site_type_symbol
_atom_site_fract_x
_atom_site_fract_y
_atom_site_fract_z
Li1 Li 0.000 0.500 0.000
Li2 Li 0.500 0.000 0.000
La1 La 0.000 0.000 0.500
Mo1 Mo 0.500 0.500 0.500
Au1 Au 0.000 0.000 0.000
```

Output
Energy = -29.94 eV per atom
SG = P4/mmm (123)
E_form = 10.384 kcal/mol of atoms
Calculated volume = 121.6 Å³/f.u.

***

No. 2
The following is a DFT calculation (SCAN) of FeTe2PI at its PBEsol-relaxed geometry.

Geometry as CIF:
```
data_FeTe2PI
_chemical_formula_sum 'Fe1 Te2 P1 I1'
_symmetry_space_group_name_H-M 'P 1'
_symmetry_Int_Tables_number 1
_symmetry_space_group_name_Hall 'P 1'
_cell_length_a 4.970
_cell_length_b 4.970
_cell_length_c 4.974
_cell_angle_alpha 90.00
_cell_angle_beta 90.00
_cell_angle_gamma 90.00
loop_
_atom_site_label
_atom_site_type_symbol
_atom_site_fract_x
_atom_site_fract_y
_atom_site_fract_z
Fe1 Fe 0.000 0.000 0.000
Te1 Te 0.000 0.500 0.000
Te2 Te 0.500 0.000 0.000
P1 P 0.500 0.500 0.500
I1 I 0.000 0.000 0.500
```

Output
ΔE_f (raw) = 0.821 eV per atom
Energy = -27.13 eV per atom
SG = P4/mmm (123)
Calculated volume = 122.9 Å³/f.u.

***

No. 3
The following is a DFT calculation (SCAN) of AsIr2Se at its PBEsol-relaxed geometry.

Geometry as CIF:
```
data_AsIr2Se
_chemical_formula_sum 'As1 Ir2 Se1'
_symmetry_space_group_name_H-M 'P 1'
_symmetry_Int_Tables_number 1
_symmetry_space_group_name_Hall 'P 1'
_cell_length_a 4.537
_cell_length_b 4.537
_cell_length_c 2.998
_cell_angle_alpha 90.00
_cell_angle_beta 90.00
_cell_angle_gamma 97.86
loop_
_atom_site_label
_atom_site_type_symbol
_atom_site_fract_x
_atom_site_fract_y
_atom_site_fract_z
As1 As 0.000 0.000 0.000
Ir1 Ir 0.000 0.500 0.500
Ir2 Ir 0.500 0.000 0.500
Se1 Se 0.500 0.500 0.000
```

Output
ΔE_f (raw) = 0.481 eV per atom
Polymorph energy (0 for the lowest one) = 0.4873 eV/atom
Energy = -45.14 eV per atom
SG = Cmmm (65)
Calculated volume = 61.1 Å³/f.u.

***

No. 4
The following is a DFT calculation (SCAN) of K2BeMo at its PBEsol-relaxed geometry.

Geometry as CIF:
```
data_K2BeMo
_chemical_formula_sum 'K2 Be1 Mo1'
_symmetry_space_group_name_H-M 'P 1'
_symmetry_Int_Tables_number 1
_symmetry_space_group_name_Hall 'P 1'
_cell_length_a 6.392
_cell_length_b 6.392
_cell_length_c 2.681
_cell_angle_alpha 90.00
_cell_angle_beta 90.00
_cell_angle_gamma 128.83
loop_
_atom_site_label
_atom_site_type_symbol
_atom_site_fract_x
_atom_site_fract_y
_atom_site_fract_z
K1 K 0.000 0.500 0.000
K2 K 0.500 0.000 0.000
Be1 Be 0.000 0.000 0.500
Mo1 Mo 0.500 0.500 0.500
```

Output
Energy = -12.44 eV per atom
SG = Cmmm (65)
E_form = 35.438 kcal/mol of atoms
Calculated volume = 85.3 Å³/f.u.

***

No. 5
The following is a DFT calculation (SCAN) of SrLa2Cl at its PBEsol-relaxed geometry.

Geometry as CIF:
```
data_SrLa2Cl
_chemical_formula_sum 'Sr1 La2 Cl1'
_symmetry_space_group_name_H-M 'P 1'
_symmetry_Int_Tables_number 1
_symmetry_space_group_name_Hall 'P 1'
_cell_length_a 3.617
_cell_length_b 3.617
_cell_length_c 9.912
_cell_angle_alpha 90.00
_cell_angle_beta 90.00
_cell_angle_gamma 90.00
loop_
_atom_site_label
_atom_site_type_symbol
_atom_site_fract_x
_atom_site_fract_y
_atom_site_fract_z
Sr1 Sr 0.000 0.000 0.000
La1 La 0.000 0.000 0.434
La2 La 0.500 0.500 0.692
Cl1 Cl 0.500 0.500 0.189
```

Output
ΔE_f (raw) = -0.751 eV per atom
Polymorph energy (0 for the lowest one) = 0.0000 eV/atom
Energy = -29.87 eV per atom
SG = P4mm (99)
Calculated volume = 129.7 Å³/f.u.

***

No. 6
The following is a DFT calculation (SCAN) of Y2RuBr at its PBEsol-relaxed geometry.

Geometry as CIF:
```
data_Y2RuBr
_chemical_formula_sum 'Y2 Ru1 Br1'
_symmetry_space_group_name_H-M 'P 1'
_symmetry_Int_Tables_number 1
_symmetry_space_group_name_Hall 'P 1'
_cell_length_a 3.427
_cell_length_b 3.378
_cell_length_c 8.174
_cell_angle_alpha 90.00
_cell_angle_beta 90.08
_cell_angle_gamma 90.00
loop_
_atom_site_label
_atom_site_type_symbol
_atom_site_fract_x
_atom_site_fract_y
_atom_site_fract_z
Y1 Y 0.001 0.000 0.200
Y2 Y 0.999 0.000 0.800
Ru1 Ru 0.500 0.500 0.000
Br1 Br 0.000 0.500 0.500
```

Output
ΔE_f (raw) = -0.946 eV per atom
Polymorph energy (0 for the lowest one) = 0.0000 eV/atom
Energy = -28.44 eV per atom
SG = P2/m (10)
Calculated volume = 94.6 Å³/f.u.

***

No. 7
The following is a DFT calculation (SCAN) of KRbPb3 at its PBEsol-relaxed geometry.

Geometry as CIF:
```
data_KRbPb3
_chemical_formula_sum 'K1 Rb1 Pb3'
_symmetry_space_group_name_H-M 'P 1'
_symmetry_Int_Tables_number 1
_symmetry_space_group_name_Hall 'P 1'
_cell_length_a 6.174
_cell_length_b 6.174
_cell_length_c 6.174
_cell_angle_alpha 90.00
_cell_angle_beta 90.00
_cell_angle_gamma 90.00
loop_
_atom_site_label
_atom_site_type_symbol
_atom_site_fract_x
_atom_site_fract_y
_atom_site_fract_z
K1 K 0.000 0.000 0.000
Rb1 Rb 0.500 0.500 0.500
Pb1 Pb 0.000 0.500 0.500
Pb2 Pb 0.500 0.000 0.500
Pb3 Pb 0.500 0.500 0.000
```

Output
Energy = -50.62 eV per atom
SG = Pm-3m (221)
E_form = 15.217 kcal/mol of atoms
Calculated volume = 235.3 Å³/f.u.

***

No. 8
The following is a DFT calculation (SCAN) of PrZnBi2O6 at its PBEsol-relaxed geometry.

Geometry as CIF:
```
data_PrZnBi2O6
_chemical_formula_sum 'Pr2 Zn2 Bi4 O12'
_symmetry_space_group_name_H-M 'P 1'
_symmetry_Int_Tables_number 1
_symmetry_space_group_name_Hall 'P 1'
_cell_length_a 8.492
_cell_length_b 6.445
_cell_length_c 5.628
_cell_angle_alpha 90.00
_cell_angle_beta 90.00
_cell_angle_gamma 90.00
loop_
_atom_site_label
_atom_site_type_symbol
_atom_site_fract_x
_atom_site_fract_y
_atom_site_fract_z
Pr1 Pr 0.000 0.166 0.000
Pr2 Pr 0.500 0.834 0.500
Zn1 Zn 0.000 0.907 0.509
Zn2 Zn 0.500 0.093 0.009
Bi1 Bi 0.241 0.719 0.031
Bi2 Bi 0.259 0.281 0.531
Bi3 Bi 0.741 0.281 0.531
Bi4 Bi 0.759 0.719 0.031
O1 O 0.000 0.235 0.411
O2 O 0.000 0.811 0.187
O3 O 0.176 0.960 0.729
O4 O 0.186 0.413 0.879
O5 O 0.314 0.587 0.379
O6 O 0.324 0.040 0.229
O7 O 0.500 0.189 0.687
O8 O 0.500 0.765 0.911
O9 O 0.676 0.040 0.229
O10 O 0.686 0.587 0.379
O11 O 0.814 0.413 0.879
O12 O 0.824 0.960 0.729
```

Output
ΔE_f (raw) = -1.724 eV per atom
Energy = -26.86 eV per atom
SG = Pmn2_1 (31)
Calculated volume = 154.0 Å³/f.u.

***

No. 9
The following is a DFT calculation (SCAN) of HgIrRu2 at its PBEsol-relaxed geometry.

Geometry as CIF:
```
data_HgIrRu2
_chemical_formula_sum 'Hg1 Ir1 Ru2'
_symmetry_space_group_name_H-M 'P 1'
_symmetry_Int_Tables_number 1
_symmetry_space_group_name_Hall 'P 1'
_cell_length_a 2.740
_cell_length_b 2.740
_cell_length_c 9.454
_cell_angle_alpha 90.00
_cell_angle_beta 90.00
_cell_angle_gamma 119.82
loop_
_atom_site_label
_atom_site_type_symbol
_atom_site_fract_x
_atom_site_fract_y
_atom_site_fract_z
Hg1 Hg 0.000 0.000 0.000
Ir1 Ir 0.500 0.500 0.268
Ru1 Ru 0.000 0.000 0.505
Ru2 Ru 0.500 0.500 0.733
```

Output
Energy = -51.66 eV per atom
SG = Cmm2 (35)
E_form = 13.233 kcal/mol of atoms
Calculated volume = 61.6 Å³/f.u.

***

No. 10
The following is a DFT calculation (SCAN) of TlMoP at its PBEsol-relaxed geometry.

Geometry as CIF:
```
data_TlMoP
_chemical_formula_sum 'Tl1 Mo1 P1'
_symmetry_space_group_name_H-M 'P 1'
_symmetry_Int_Tables_number 1
_symmetry_space_group_name_Hall 'P 1'
_cell_length_a 3.127
_cell_length_b 3.127
_cell_length_c 6.408
_cell_angle_alpha 90.00
_cell_angle_beta 90.00
_cell_angle_gamma 120.00
loop_
_atom_site_label
_atom_site_type_symbol
_atom_site_fract_x
_atom_site_fract_y
_atom_site_fract_z
Tl1 Tl 0.000 0.000 0.000
Mo1 Mo 0.333 0.667 0.628
P1 P 0.667 0.333 0.388
```

Output
Energy = -39.08 eV per atom
SG = P3m1 (156)
E_form = 3.153 kcal/mol of atoms
Calculated volume = 54.3 Å³/f.u.

***

Total magnetic moment? In order: 3.61 2.21 0.00 0.88 0.00 0.00 0.00 0.00 1.88 0.00 μB per cell.
Density? In order: 6.09 6.34 14.62 3.56 5.13 6.30 5.27 7.77 16.05 10.14 Mg/m³.
Fermi-level density of states? In order: 3.03 4.25 2.62 2.49 3.98 1.36 3.63 4.99 3.49 0.87 states/eV/cell.